(1)
Crystalline TlSi2Ni2 at its relaxed geometry. Source: Alexandria via LeMat-Bulk, functional PBE.

Computed properties:
- Calculated density: 7.96 g/cm3
- E_form (uncorrected): -0.08 eV per atom
- Total moment: 0.0 μB per formula unit

Lattice parameters (Å, degrees): 4.110 4.110 9.335 90.00 90.00 90.00
Space group I4/mmm (No. 139)
Inequivalent atoms, fractional coordinates:
Tl1 0.000 0.000 0.000 x2
Si1 0.000 0.000 0.370 x4
Ni1 0.000 0.500 0.250 x4

---

(2)
Crystalline TlReOs2F at its relaxed geometry. Source: Alexandria via LeMat-Bulk, functional PBE.

Computed properties:
- Calculated density: 12.75 g/cm3
- E_form (uncorrected): 2.50 eV per atom
- Total moment: 3.6 μB per formula unit

Lattice parameters (Å, degrees): 5.005 5.005 4.107 90.00 90.00 90.00
Space group P4/mmm (No. 123)
Inequivalent atoms, fractional coordinates:
Tl1 0.000 0.000 0.000 x1
Re1 0.500 0.500 0.500 x1
Os1 0.000 0.500 0.000 x2
F1 0.000 0.000 0.500 x1

---

(3)
Crystalline K2GaPC at its relaxed geometry. Source: Alexandria via LeMat-Bulk, functional PBE.

Computed properties:
- Calculated density: 2.34 g/cm3
- Total energy: -3.377 eV/atom
- Total moment: 0.9 μB per formula unit

Lattice parameters (Å, degrees): 6.177 6.177 3.544 90.00 90.00 90.00
Space group P4/mmm (No. 123)
Inequivalent atoms, fractional coordinates:
K1 0.000 0.500 0.000 x2
Ga1 0.000 0.000 0.500 x1
P1 0.500 0.500 0.500 x1
C1 0.000 0.000 0.000 x1

---

(4)
Crystalline Na3TcCl at its relaxed geometry. Source: Alexandria via LeMat-Bulk, functional PBE.

Computed properties:
- Calculated density: 1.68 g/cm3
- E_form (uncorrected): 0.69 eV per atom
- Total moment: 3.1 μB per formula unit

Lattice parameters (Å, degrees): 5.854 5.854 5.854 90.00 90.00 90.00
Space group Pm-3m (No. 221)
Inequivalent atoms, fractional coordinates:
Na1 0.000 0.000 0.500 x3
Tc1 0.000 0.000 0.000 x1
Cl1 0.500 0.500 0.500 x1

---

(5)
Crystalline MgZnMo2 at its relaxed geometry. Source: Alexandria via LeMat-Bulk, functional PBE.

Computed properties:
- Calculated density: 7.16 g/cm3
- Total energy: -5.746 eV/atom
- Total moment: 0.0 μB per formula unit

Lattice parameters (Å, degrees): 2.8254 2.8254 28.3427 90.00 90.00 120.00
Space group R-3m (No. 166, hexagonal axes)
Inequivalent atoms, fractional coordinates:
Mg1 0.0000 0.0000 0.0000 x3
Zn1 0.0000 0.0000 0.5000 x3
Mo1 0.0000 0.0000 0.2466 x6

---

(6)
Crystalline BaLa2SnRu at its relaxed geometry. Source: Alexandria via LeMat-Bulk, functional PBE.

Computed properties:
- Calculated density: 6.17 g/cm3
- Total energy: -5.291 eV/atom
- Total moment: 0.0 μB per formula unit

Lattice parameters (Å, degrees): 5.468 5.468 5.720 90.00 90.00 90.00
Space group P4/mmm (No. 123)
Inequivalent atoms, fractional coordinates:
Ba1 0.000 0.000 0.000 x1
La1 0.000 0.500 0.500 x2
Sn1 0.500 0.500 0.000 x1
Ru1 0.000 0.000 0.500 x1

---

(7)
Crystalline ThMgIn at its relaxed geometry. Source: Alexandria via LeMat-Bulk, functional PBE.

Computed properties:
- Calculated density: 7.32 g/cm3
- Total energy: -3.982 eV/atom
- Total moment: 0.0 μB per formula unit

Lattice parameters (Å, degrees): 3.219 17.554 5.961 90.00 90.00 90.00
Space group Cmcm (No. 63)
Inequivalent atoms, fractional coordinates:
Th1 0.000 0.163 0.250 x4
Mg1 0.000 0.500 0.000 x4
In1 0.000 0.349 0.250 x4

---

(8)
Crystalline Pm2Th2Ni3 at its relaxed geometry. Source: Alexandria via LeMat-Bulk, functional PBE.

Computed properties:
- Calculated density: 8.97 g/cm3
- Total energy: -6.228 eV/atom
- Total moment: 0.0 μB per formula unit

Lattice parameters (Å, degrees): 3.790 6.755 7.335 94.04 104.93 106.13
Space group P-1 (No. 2)
Inequivalent atoms, fractional coordinates:
Pm1 0.191 0.265 0.120 x2
Th1 0.080 0.762 0.398 x2
Ni1 0.429 0.050 0.809 x2
Ni2 0.500 0.500 0.500 x1

---

(9)
Crystalline Mo2AsRh at its relaxed geometry. Source: Alexandria via LeMat-Bulk, functional PBE.

Computed properties:
- Calculated density: 6.99 g/cm3
- Total energy: -7.550 eV/atom
- Total moment: 0.0 μB per formula unit

Lattice parameters (Å, degrees): 5.913 5.913 10.051 90.00 90.00 90.00
Space group I-42d (No. 122)
Inequivalent atoms, fractional coordinates:
Mo1 0.243 0.250 0.125 x8
As1 0.000 0.000 0.500 x4
Rh1 0.000 0.000 0.000 x4

---

(10)
Crystalline Pr2YIn9 at its relaxed geometry. Source: Alexandria via LeMat-Bulk, functional PBE.

Computed properties:
- Calculated density: 7.45 g/cm3
- Total energy: -3.847 eV/atom
- Total moment: 0.0 μB per formula unit

Lattice parameters (Å, degrees): 4.709 4.709 14.119 90.00 90.00 90.00
Space group P4/mmm (No. 123)
Inequivalent atoms, fractional coordinates:
Pr1 0.000 0.000 0.169 x2
Y1 0.000 0.000 0.500 x1
In1 0.000 0.500 0.000 x2
In2 0.000 0.500 0.337 x4
In3 0.500 0.500 0.167 x2
In4 0.500 0.500 0.500 x1

---

(11)
Crystalline Rb3NpCd2S6 at its relaxed geometry. Source: Alexandria via LeMat-Bulk, functional PBE.

Computed properties:
- Calculated density: 4.70 g/cm3
- E_form (uncorrected): -0.97 eV per atom
- Total moment: 2.0 μB per formula unit

Lattice parameters (Å, degrees): 6.926 12.133 7.984 90.00 106.55 90.00
Space group C2/m (No. 12)
Inequivalent atoms, fractional coordinates:
Rb1 0.000 0.000 0.000 x2
Rb2 0.000 0.327 0.000 x4
Np1 0.000 0.500 0.500 x2
Cd1 0.000 0.166 0.500 x4
S1 0.225 0.341 0.690 x8
S2 0.249 0.000 0.696 x4

---

(12)
Crystalline Dy11Ir4Pb9 at its relaxed geometry. Source: Alexandria via LeMat-Bulk, functional PBE.

Computed properties:
- Calculated density: 11.89 g/cm3
- Total energy: -5.556 eV/atom
- Total moment: 0.0 μB per formula unit

Lattice parameters (Å, degrees): 14.911 22.146 3.741 90.00 90.00 90.00
Space group Cmmm (No. 65)
Inequivalent atoms, fractional coordinates:
Dy1 0.000 0.000 0.000 x2
Dy2 0.000 0.160 0.000 x4
Dy3 0.000 0.373 0.000 x4
Dy4 0.187 0.500 0.000 x4
Dy5 0.248 0.333 0.000 x8
Ir1 0.151 0.399 0.500 x8
Pb1 0.000 0.500 0.500 x2
Pb2 0.111 0.258 0.500 x8
Pb3 0.143 0.074 0.500 x8